Material: LiAlAu2
Method: DFT, PBE-GGA
State: relaxed

a = 6.0179 Å, b = 6.0179 Å, c = 6.0179 Å
α = 37.97°, β = 37.97°, γ = 37.97°
Closest atoms and distances in Å follow each position.
Fractional coordinates of all 4 atoms:
Li  0.0000  0.0000  0.0000  6 Au 2.65-2.74, 1 Al 2.90
Al  0.1731  0.1731  0.1731  6 Au 2.60-2.64, 1 Li 2.90
Au  0.5834  0.5834  0.5834  3 Al 2.60, 3 Li 2.65
Au  0.7587  0.7587  0.7587  3 Al 2.64, 3 Li 2.74, 1 Au 2.93

Results
Space-group type: No. 160

=====

Material: LiAlAu3
Method: DFT, PBE-GGA
State: relaxed

a = 4.6221 Å, b = 4.6455 Å, c = 7.8673 Å
α = 89.96°, β = 73.10°, γ = 89.86°
Closest atoms and distances in Å follow each position.
Fractional coordinates of all 10 atoms:
Li  0.1497  0.2498  0.2034  8 Au 2.67-2.79
Li  0.8503  0.7502  0.7966  8 Au 2.67-2.79
Al  0.3511  0.2501  0.7988  8 Au 2.67-2.77
Al  0.6489  0.7499  0.2012  8 Au 2.67-2.77
Au  0.0600  0.7498  0.3789  2 Al 2.67, 2 Li 2.67, 5 Au 2.86-2.95
Au  0.2502  0.7499  0.9984  4 Li 2.76-2.79, 4 Al 2.77, 2 Au 2.85-2.86
Au  0.4388  0.7499  0.6193  2 Li 2.67, 2 Al 2.69, 5 Au 2.85-2.94
Au  0.5612  0.2501  0.3807  2 Li 2.67, 2 Al 2.69, 5 Au 2.85-2.94
Au  0.7498  0.2501  0.0016  4 Li 2.76-2.79, 4 Al 2.77, 2 Au 2.85-2.86
Au  0.9400  0.2502  0.6211  2 Al 2.67, 2 Li 2.67, 5 Au 2.86-2.95

Results
Space-group type: No. 2

=====

Material: LiAlAu2
Method: DFT, PBE-GGA
State: relaxed

a = 3.1965 Å, b = 3.1965 Å, c = 6.1620 Å
α = 90.00°, β = 90.00°, γ = 90.00°
Closest atoms and distances in Å follow each position.
Fractional coordinates of all 4 atoms:
Li  0.0000  0.0000  0.0000  8 Au 2.73
Al  0.0000  0.0000  0.5000  8 Au 2.74
Au  0.5000  0.5000  0.2498  4 Li 2.73, 4 Al 2.74
Au  0.5000  0.5000  0.7502  4 Li 2.73, 4 Al 2.74

Results
Space-group type: No. 123

=====

Material: Li8AlAu6
Method: DFT, PBE-GGA
State: relaxed

a = 6.9823 Å, b = 6.9823 Å, c = 6.9823 Å
α = 66.43°, β = 66.43°, γ = 66.43°
Closest atoms and distances in Å follow each position.
Fractional coordinates of all 15 atoms:
Li  0.0481  0.7125  0.3788  5 Au 2.67-2.81, 3 Li 2.96-2.97
Li  0.1649  0.1649  0.1649  6 Au 2.66-2.68
Li  0.2875  0.6212  0.9519  5 Au 2.67-2.81, 3 Li 2.96-2.97
Li  0.3788  0.0481  0.7125  5 Au 2.67-2.81, 3 Li 2.96-2.97
Li  0.6212  0.9519  0.2875  5 Au 2.67-2.81, 3 Li 2.96-2.97
Li  0.7125  0.3788  0.0481  5 Au 2.67-2.81, 3 Li 2.96-2.97
Li  0.8351  0.8351  0.8351  6 Au 2.66-2.68
Li  0.9519  0.2875  0.6212  5 Au 2.67-2.81, 3 Li 2.96-2.97
Al  0.5000  0.5000  0.5000  6 Au 2.67
Au  0.1177  0.4518  0.7842  7 Li 2.66-2.81, 1 Al 2.67
Au  0.2158  0.8823  0.5482  7 Li 2.66-2.81, 1 Al 2.67
Au  0.4518  0.7842  0.1177  7 Li 2.66-2.81, 1 Al 2.67
Au  0.5482  0.2158  0.8823  7 Li 2.66-2.81, 1 Al 2.67
Au  0.7842  0.1177  0.4518  7 Li 2.66-2.81, 1 Al 2.67
Au  0.8823  0.5482  0.2158  7 Li 2.66-2.81, 1 Al 2.67

Results
Space-group type: No. 148

=====

Material: LiAl2Au
Method: DFT, PBE-GGA
State: relaxed

a = 4.6789 Å, b = 4.6789 Å, c = 4.6433 Å
α = 101.49°, β = 101.49°, γ = 40.64°
Closest atoms and distances in Å follow each position.
Fractional coordinates of all 4 atoms:
Li  0.0000  0.0000  0.0000  6 Al 2.65-2.83, 4 Au 2.83
Al  0.2427  0.2427  0.7457  3 Li 2.65-2.83, 3 Au 2.73-2.74, 4 Al 2.83-2.85
Al  0.7573  0.7573  0.2543  3 Li 2.65-2.83, 3 Au 2.73-2.74, 4 Al 2.83-2.85
Au  0.5000  0.5000  0.5000  6 Al 2.73-2.74, 4 Li 2.83

Results
Space-group type: No. 12

=====

Material: LiAl2Au5
Method: DFT, PBE-GGA
State: relaxed

a = 7.0255 Å, b = 7.0255 Å, c = 7.0255 Å
α = 153.54°, β = 110.59°, γ = 75.70°
Closest atoms and distances in Å follow each position.
Fractional coordinates of all 8 atoms:
Li  0.0000  0.0000  0.0000  8 Au 2.98, 2 Li 3.22, 4 Al 3.33
Al  0.2629  0.7629  0.5000  7 Au 2.51-2.80
Al  0.7371  0.2371  0.5000  7 Au 2.51-2.80
Au  0.1237  0.3689  0.7548  3 Al 2.51-2.80
Au  0.3859  0.6311  0.7548  3 Al 2.51-2.80
Au  0.5000  0.0000  0.5000  2 Al 2.63, 8 Au 2.92
Au  0.6141  0.3689  0.2452  3 Al 2.51-2.80
Au  0.8763  0.6311  0.2452  3 Al 2.51-2.80

Results
Space-group type: No. 71

=====

Material: Li6AlAu6
Method: DFT, PBE-GGA
State: relaxed

a = 5.1882 Å, b = 5.1882 Å, c = 9.0296 Å
α = 90.00°, β = 90.00°, γ = 117.01°
Closest atoms and distances in Å follow each position.
Fractional coordinates of all 13 atoms:
Li  0.0000  0.0000  0.1487  5 Li 2.68-2.82, 4 Au 2.72-2.79
Li  0.0000  0.0000  0.8513  5 Li 2.68-2.82, 4 Au 2.72-2.79
Li  0.0000  0.5000  0.2711  6 Au 2.61-2.80, 4 Li 2.71-2.82
Li  0.0000  0.5000  0.7289  6 Au 2.61-2.80, 4 Li 2.71-2.82
Li  0.5000  0.0000  0.2711  6 Au 2.61-2.80, 4 Li 2.71-2.82
Li  0.5000  0.0000  0.7289  6 Au 2.61-2.80, 4 Li 2.71-2.82
Al  0.5000  0.5000  0.5000  2 Au 2.53
Au  0.1549  0.8451  0.5000  4 Li 2.61, 1 Au 2.74
Au  0.2672  0.7328  0.0000  6 Li 2.72-2.80, 4 Au 2.73-2.86
Au  0.5000  0.5000  0.2202  1 Al 2.53, 6 Li 2.63-2.79
Au  0.5000  0.5000  0.7798  1 Al 2.53, 6 Li 2.63-2.79
Au  0.7328  0.2672  0.0000  6 Li 2.72-2.80, 4 Au 2.73-2.86
Au  0.8451  0.1549  0.5000  4 Li 2.61, 1 Au 2.74

Results
Space-group type: No. 65

=====

Material: LiAl5Au6
Method: DFT, PBE-GGA
State: relaxed

a = 7.8513 Å, b = 7.8513 Å, c = 4.4674 Å
α = 106.42°, β = 106.42°, γ = 120.30°
Closest atoms and distances in Å follow each position.
Fractional coordinates of all 12 atoms:
Li  0.0000  0.0000  0.0000  8 Au 2.77-2.81, 4 Al 3.10
Al  0.1576  0.8424  0.5000  8 Au 2.71-2.85
Al  0.3318  0.6682  0.0000  8 Au 2.74-2.77
Al  0.5000  0.5000  0.5000  8 Au 2.72-2.79
Al  0.6682  0.3318  0.0000  8 Au 2.74-2.77
Al  0.8424  0.1576  0.5000  8 Au 2.71-2.85
Au  0.0838  0.4209  0.2527  7 Al 2.74-2.85, 1 Li 2.81
Au  0.2583  0.2583  0.7603  6 Al 2.71-2.77, 2 Li 2.77-2.80
Au  0.4209  0.0838  0.2527  7 Al 2.74-2.85, 1 Li 2.81
Au  0.5791  0.9162  0.7473  7 Al 2.74-2.85, 1 Li 2.81
Au  0.7417  0.7417  0.2397  6 Al 2.71-2.77, 2 Li 2.77-2.80
Au  0.9162  0.5791  0.7473  7 Al 2.74-2.85, 1 Li 2.81

Results
Space-group type: No. 12

=====

Respective total magnetic moment values: 0.00; 0.00; 0.00; 0.00; 0.00; 0.00; 0.00; 0.00 μB per formula unit.
Respective calculated formation energy values: -337; -457; -488; -417; -302; -283; -385; -376 meV per atom.
Respective volume values: 18.511; 16.163; 15.740; 18.271; 16.174; 17.836; 16.657; 16.309 A^3/atom.